Record 1
A plane-wave DFT calculation with PBE was carried out for a relaxed Mg2SiHg crystal.

a b c (Å): 5.6018 5.6018 4.8299
angles (deg): 76.87 76.87 33.10
Last column: nearest neighbours and their distance in Å.
Atoms (fractional coordinates):
Si  0.5085  0.5085  0.5516  7 Mg 2.87-3.02, 2 Hg 3.06, 2 Si 3.19
Mg  0.7691  0.7691  0.6881  4 Hg 2.91-2.92, 3 Si 2.96-3.02, 3 Mg 3.19-3.26
Mg  0.9872  0.9872  0.0551  4 Si 2.87-2.93, 3 Hg 2.92-3.08, 2 Mg 3.19
Hg  0.2353  0.2353  0.2052  7 Mg 2.91-3.08, 2 Si 3.06, 2 Hg 3.19

Summary:
Mass density   5727 kg/m3
Formation energy (no corrections)   -0.01 eV per atom

Record 2
A plane-wave DFT calculation with PBE was carried out for a relaxed SrPd2Au crystal.

a b c (Å): 5.6267 5.6267 9.6505
angles (deg): 73.05 73.05 60.00
Last column: nearest neighbours and their distance in Å.
Atoms (fractional coordinates):
Au  0.3330  0.3330  0.0010  6 Pd 2.79-2.82
Pd  0.9190  0.4148  0.2515  3 Au 2.79-2.82, 4 Pd 2.79-2.84
Au  0.5000  0.5000  0.5000  6 Pd 2.79
Pd  0.4148  0.4148  0.2515  3 Au 2.79-2.82, 4 Pd 2.79-2.84
Pd  0.4148  0.9190  0.2515  3 Au 2.79-2.82, 4 Pd 2.79-2.84
Sr  0.8613  0.8613  0.4162  9 Pd 3.19-3.42, 3 Au 3.34
Sr  0.0000  0.0000  0.0000  6 Au 3.25, 12 Pd 3.62
Pd  0.5852  0.0810  0.7485  3 Au 2.79-2.82, 4 Pd 2.79-2.84
Au  0.6670  0.6670  0.9990  6 Pd 2.79-2.82
Sr  0.1387  0.1387  0.5838  9 Pd 3.19-3.42, 3 Au 3.34
Pd  0.5852  0.5852  0.7485  3 Au 2.79-2.82, 4 Pd 2.79-2.84
Pd  0.0810  0.5852  0.7485  3 Au 2.79-2.82, 4 Pd 2.79-2.84

Summary:
Energy relative to the lowest polymorph listed for this composition   0 meV/atom
Formation energy from the elements   -0.603 eV per atom
Mass density   9945 kg/m3

Record 3
A plane-wave DFT calculation with PBE was carried out for a relaxed Li2Ga2Fe crystal.

a b c (Å): 7.0025 7.0025 2.9646
angles (deg): 90.00 90.00 90.00
Last column: nearest neighbours and their distance in Å.
Atoms (fractional coordinates):
Li  0.1545  0.6545  0.5000  6 Ga 2.46-2.58
Li  0.8455  0.3455  0.5000  6 Ga 2.46-2.58
Ga  0.3526  0.8526  0.0000  6 Li 2.46-2.58, 2 Fe 2.68
Ga  0.8526  0.6474  0.0000  6 Li 2.46-2.58, 2 Fe 2.68
Fe  0.5000  0.5000  0.0000  4 Ga 2.68, 2 Fe 2.96
Li  0.6545  0.8455  0.5000  6 Ga 2.46-2.58
Ga  0.1474  0.3526  0.0000  6 Li 2.46-2.58, 2 Fe 2.68
Ga  0.6474  0.1474  0.0000  6 Li 2.46-2.58, 2 Fe 2.68
Fe  0.0000  0.0000  0.0000  4 Ga 2.68, 2 Fe 2.96
Li  0.3455  0.1545  0.5000  6 Ga 2.46-2.58

Summary:
Formation energy from the elements   0.007 eV per atom
Mass density   4779 kg/m3

Record 4
A plane-wave DFT calculation with PBE was carried out for a relaxed TbMgOs4 crystal.

a b c (Å): 5.2889 5.2889 5.2889
angles (deg): 60.00 60.00 60.00
Last column: nearest neighbours and their distance in Å.
Atoms (fractional coordinates):
Os  0.6254  0.6254  0.1238  6 Os 2.64-2.65
Os  0.6254  0.6254  0.6254  6 Os 2.64-2.65
Os  0.1238  0.6254  0.6254  6 Os 2.64-2.65
Mg  0.0000  0.0000  0.0000  12 Os 3.10, 4 Tb 3.24
Os  0.6254  0.1238  0.6254  6 Os 2.64-2.65
Tb  0.2500  0.2500  0.2500  12 Os 3.10, 4 Mg 3.24

Summary:
Formation energy from the elements   -0.021 eV per atom
Mass density   14987 kg/m3